(1)
Mn2SbPb: single point on PBEsol structure, SCAN.

Values from the calculation:
Density of states at the Fermi level ... 2.482 states/eV/f.u.
Relative energy among the computed polymorphs ... 20 meV per atom
Total energy ... -149.0 eV/cell
Size of the total moment ... 7.0 μB per formula unit

Cell lengths 3.4238, 3.3430, 6.8727 Å; angles 90.00, 100.95, 90.00 degrees
Site moments in Bohr magnetons follow the coordinates.
Sites, in units of the cell vectors:
Mn1 0.9419 0.0000 0.3011  3.56
Mn2 0.0581 0.0000 0.6989  3.56
Sb1 0.5000 0.5000 0.5000  -0.11
Pb1 0.5000 0.5000 0.0000  -0.07

(2)
Mn2SbPb: single point on PBEsol structure, SCAN.

Values from the calculation:
Density of states at the Fermi level ... 2.643 states/eV/f.u.
Relative energy among the computed polymorphs ... 13 meV per atom
Total energy ... -149.0 eV/cell
Size of the total moment ... 7.4 μB per formula unit

Cell lengths 3.4196, 3.4196, 6.6169 Å; angles 90.00, 90.00, 90.00 degrees
Site moments in Bohr magnetons follow the coordinates.
Sites, in units of the cell vectors:
Mn1 0.0000 0.0000 0.7069  3.73
Mn2 0.0000 0.0000 0.2931  3.73
Sb1 0.5000 0.5000 0.5000  -0.09
Pb1 0.5000 0.5000 0.0000  -0.04

(3)
Mn2SbPb: single point on PBEsol structure, SCAN.

Values from the calculation:
Density of states at the Fermi level ... 2.560 states/eV/f.u.
Relative energy among the computed polymorphs ... 0 meV per atom
Total energy ... -149.1 eV/cell
Size of the total moment ... 7.5 μB per formula unit

Cell lengths 3.2433, 3.2433, 7.4453 Å; angles 90.00, 90.00, 99.37 degrees
Site moments in Bohr magnetons follow the coordinates.
Sites, in units of the cell vectors:
Mn1 0.0000 0.0000 0.2292  3.78
Mn2 0.0000 0.0000 0.7708  3.78
Sb1 0.5000 0.5000 0.0000  -0.08
Pb1 0.5000 0.5000 0.5000  -0.07

(4)
Mn3SbPb: single point on PBEsol structure, SCAN.

Values from the calculation:
Density of states at the Fermi level ... 2.614 states/eV/f.u.
Total energy ... -164.5 eV/cell
Size of the total moment ... 13.8 μB per formula unit

Cell lengths 5.0386, 5.0386, 5.0386 Å; angles 90.00, 90.00, 90.00 degrees
Site moments in Bohr magnetons follow the coordinates.
Sites, in units of the cell vectors:
Mn1 0.5000 0.0000 0.0000  4.32
Mn2 0.0000 0.5000 0.0000  4.32
Mn3 0.0000 0.0000 0.5000  4.32
Sb1 0.5000 0.5000 0.5000  -0.01
Pb1 0.0000 0.0000 0.0000  -0.02

(5)
Mn2SbPb: single point on PBEsol structure, SCAN.

Values from the calculation:
Density of states at the Fermi level ... 3.088 states/eV/f.u.
Relative energy among the computed polymorphs ... 12 meV per atom
Total energy ... -149.0 eV/cell
Size of the total moment ... 7.8 μB per formula unit

Cell lengths 3.1648, 4.9855, 4.9855 Å; angles 100.73, 90.00, 90.00 degrees
Site moments in Bohr magnetons follow the coordinates.
Sites, in units of the cell vectors:
Mn1 0.0000 0.5000 0.0000  3.86
Mn2 0.0000 0.0000 0.5000  3.86
Pb1 0.5000 0.0000 0.0000  -0.06
Sb1 0.5000 0.5000 0.5000  -0.04

(6)
MnSbTe2Pb: single point on PBEsol structure, SCAN.

Values from the calculation:
Density of states at the Fermi level ... 4.133 states/eV/f.u.
Total energy ... -201.6 eV/cell
Size of the total moment ... 4.6 μB per formula unit

Cell lengths 5.6513, 5.7445, 5.7445 Å; angles 90.00, 90.00, 90.00 degrees
Site moments in Bohr magnetons follow the coordinates.
Sites, in units of the cell vectors:
Pb1 0.0000 0.0000 0.0000  0.00
Mn1 0.5000 0.5000 0.5000  4.91
Sb1 0.5000 0.0000 0.0000  -0.30
Te1 0.0000 0.5000 0.0000  -0.06
Te2 0.0000 0.0000 0.5000  -0.06

(7)
ScMnPb: single point on PBEsol structure, SCAN.

Values from the calculation:
Density of states at the Fermi level ... 3.517 states/eV/f.u.
ΔE_f ... -0.5 eV/f.u.
Total energy ... -108.7 eV/cell
Size of the total moment ... 4.0 μB per formula unit

Cell lengths 4.5366, 4.5366, 4.5366 Å; angles 60.00, 60.00, 60.00 degrees
Site moments in Bohr magnetons follow the coordinates.
Sites, in units of the cell vectors:
Sc1 0.5000 0.5000 0.5000  0.02
Mn1 0.2500 0.2500 0.2500  3.67
Pb1 0.0000 0.0000 0.0000  -0.01

(8)
ScMn2Pb: single point on PBEsol structure, SCAN.

Values from the calculation:
Density of states at the Fermi level ... 3.347 states/eV/f.u.
ΔE_f ... -0.3 eV/f.u.
Total energy ... -126.9 eV/cell
Size of the total moment ... 7.0 μB per formula unit

Cell lengths 3.4343, 3.4343, 6.0610 Å; angles 90.00, 90.00, 90.00 degrees
Site moments in Bohr magnetons follow the coordinates.
Sites, in units of the cell vectors:
Mn1 0.0000 0.0000 0.2646  3.75
Mn2 0.0000 0.0000 0.7354  3.75
Pb1 0.5000 0.5000 0.0000  -0.07
Sc1 0.5000 0.5000 0.5000  -0.39

(9)
ScMnPb2: single point on PBEsol structure, SCAN.

Values from the calculation:
Density of states at the Fermi level ... 2.499 states/eV/f.u.
ΔE_f ... -0.7 eV/f.u.
Total energy ... -184.7 eV/cell
Size of the total moment ... 4.8 μB per formula unit

Cell lengths 3.2778, 4.0729, 6.5799 Å; angles 90.00, 90.00, 90.00 degrees
Site moments in Bohr magnetons follow the coordinates.
Sites, in units of the cell vectors:
Pb1 0.0000 0.0000 0.2620  -0.01
Pb2 0.0000 0.0000 0.7380  -0.01
Sc1 0.5000 0.5000 0.0000  0.30
Mn1 0.5000 0.5000 0.5000  4.17

(10)
ScMn2Pb: single point on PBEsol structure, SCAN.

Values from the calculation:
Density of states at the Fermi level ... 1.909 states/eV/f.u.
ΔE_f ... 0.4 eV/f.u.
Total energy ... -126.1 eV/cell
Size of the total moment ... 0.6 μB per formula unit

Cell lengths 3.6714, 3.6714, 6.5474 Å; angles 73.72, 73.72, 60.00 degrees
Site moments in Bohr magnetons follow the coordinates.
Sites, in units of the cell vectors:
Sc1 0.2741 0.2741 0.1778  0.12
Mn1 0.0333 0.0333 0.9002  -1.62
Mn2 0.7148 0.7148 0.8557  1.96
Pb1 0.4779 0.4779 0.5663  0.02

(11)
MnPb2Se: single point on PBEsol structure, SCAN.

Values from the calculation:
Density of states at the Fermi level ... 1.723 states/eV/f.u.
Total energy ... -190.7 eV/cell
Size of the total moment ... 3.8 μB per formula unit

Cell lengths 3.4271, 3.4271, 9.4002 Å; angles 79.50, 79.50, 60.00 degrees
Site moments in Bohr magnetons follow the coordinates.
Sites, in units of the cell vectors:
Se1 0.5237 0.5237 0.4289  -0.08
Pb1 0.7538 0.7538 0.7385  0.01
Pb2 0.9834 0.9834 0.0498  -0.06
Mn1 0.2390 0.2390 0.2829  3.78

(12)
MnPbSe3: single point on PBEsol structure, SCAN.

Values from the calculation:
Density of states at the Fermi level ... 3.970 states/eV/f.u.
Total energy ... -151.6 eV/cell
Size of the total moment ... 5.0 μB per formula unit

Cell lengths 5.3058, 5.3058, 5.3058 Å; angles 90.00, 90.00, 90.00 degrees
Site moments in Bohr magnetons follow the coordinates.
Sites, in units of the cell vectors:
Pb1 0.0000 0.0000 0.0000  0.01
Se1 0.0000 0.5000 0.0000  -0.06
Se2 0.0000 0.0000 0.5000  -0.06
Se3 0.5000 0.0000 0.0000  -0.06
Mn1 0.5000 0.5000 0.5000  4.77

(13)
Mn2PbSe: single point on PBEsol structure, SCAN.

Values from the calculation:
Density of states at the Fermi level ... 2.821 states/eV/f.u.
Relative energy among the computed polymorphs ... 0 meV per atom
Total energy ... -132.1 eV/cell
Size of the total moment ... 7.4 μB per formula unit

Cell lengths 4.5586, 4.7286, 4.5586 Å; angles 61.18, 90.00, 118.82 degrees
Site moments in Bohr magnetons follow the coordinates.
Sites, in units of the cell vectors:
Mn1 0.7500 0.5000 0.7500  3.83
Mn2 0.2500 0.5000 0.2500  3.83
Se1 0.0000 0.0000 0.0000  -0.07
Pb1 0.5000 0.0000 0.5000  -0.16

(14)
MnPbSe2: single point on PBEsol structure, SCAN.

Values from the calculation:
Density of states at the Fermi level ... 1.187 states/eV/f.u.
Total energy ... -135.1 eV/cell
Size of the total moment ... 5.0 μB per formula unit

Cell lengths 3.5717, 4.9798, 4.9798 Å; angles 90.00, 90.00, 90.00 degrees
Site moments in Bohr magnetons follow the coordinates.
Sites, in units of the cell vectors:
Se1 0.0000 0.5000 0.0000  0.06
Se2 0.0000 0.0000 0.5000  0.06
Mn1 0.5000 0.5000 0.5000  4.54
Pb1 0.5000 0.0000 0.0000  0.00

(15)
Mn2PbSe: single point on PBEsol structure, SCAN.

Values from the calculation:
Density of states at the Fermi level ... 2.289 states/eV/f.u.
Relative energy among the computed polymorphs ... 297 meV per atom
Total energy ... -130.9 eV/cell
Size of the total moment ... 8.1 μB per formula unit

Cell lengths 4.7921, 4.7921, 4.7921 Å; angles 60.00, 60.00, 60.00 degrees
Site moments in Bohr magnetons follow the coordinates.
Sites, in units of the cell vectors:
Se1 0.7500 0.7500 0.7500  0.04
Mn1 0.0000 0.0000 0.0000  4.08
Mn2 0.2500 0.2500 0.2500  4.04
Pb1 0.5000 0.5000 0.5000  -0.14

(16)
MnPb2Se: single point on PBEsol structure, SCAN.

Values from the calculation:
Density of states at the Fermi level ... 1.538 states/eV/f.u.
Total energy ... -190.5 eV/cell
Size of the total moment ... 4.1 μB per formula unit

Cell lengths 3.6106, 4.8639, 5.7665 Å; angles 111.34, 90.00, 90.00 degrees
Site moments in Bohr magnetons follow the coordinates.
Sites, in units of the cell vectors:
Mn1 0.5000 0.3974 0.7787  4.03
Pb1 0.0000 0.9197 0.9235  -0.04
Pb2 0.5000 0.5613 0.3142  -0.02
Se1 0.0000 0.1217 0.4836  0.01

(17)
MnPbSe2: single point on PBEsol structure, SCAN.

Values from the calculation:
Total energy ... -136.8 eV/cell
Size of the total moment ... 5.0 μB per formula unit

Cell lengths 3.9509, 4.3326, 6.4536 Å; angles 90.00, 107.77, 90.00 degrees
Site moments in Bohr magnetons follow the coordinates.
Sites, in units of the cell vectors:
Se1 0.6627 0.5000 0.4508  0.04
Se2 0.9336 0.0000 0.9899  0.06
Pb1 0.3387 0.5000 0.8065  0.05
Mn1 0.5649 0.0000 0.2527  4.38

(18)
MnPb2Se: single point on PBEsol structure, SCAN.

Values from the calculation:
Density of states at the Fermi level ... 2.813 states/eV/f.u.
Total energy ... -189.5 eV/cell
Size of the total moment ... 4.0 μB per formula unit

Cell lengths 3.6986, 3.6986, 6.7033 Å; angles 90.00, 90.00, 90.00 degrees
Site moments in Bohr magnetons follow the coordinates.
Sites, in units of the cell vectors:
Mn1 0.5000 0.5000 0.0000  4.16
Pb1 0.0000 0.0000 0.7607  -0.08
Pb2 0.0000 0.0000 0.2393  -0.08
Se1 0.5000 0.5000 0.5000  0.04

(19)
MnSiPb2: single point on PBEsol structure, SCAN.

Values from the calculation:
Density of states at the Fermi level ... 2.086 states/eV/f.u.
Total energy ... -178.1 eV/cell
Size of the total moment ... 4.1 μB per formula unit

Cell lengths 4.1642, 4.1642, 5.8669 Å; angles 110.79, 110.79, 90.00 degrees
Site moments in Bohr magnetons follow the coordinates.
Sites, in units of the cell vectors:
Pb1 0.7500 0.2500 0.5000  -0.03
Pb2 0.0000 0.0000 0.0000  -0.04
Mn1 0.2500 0.7500 0.5000  4.17
Si1 0.5000 0.5000 0.0000  -0.02

(20)
MnSiPb3: single point on PBEsol structure, SCAN.

Values from the calculation:
Density of states at the Fermi level ... 3.406 states/eV/f.u.
Total energy ... -251.9 eV/cell
Size of the total moment ... 4.8 μB per formula unit

Cell lengths 5.3030, 5.3030, 5.3030 Å; angles 90.00, 90.00, 90.00 degrees
Site moments in Bohr magnetons follow the coordinates.
Sites, in units of the cell vectors:
Mn1 0.5000 0.5000 0.5000  4.66
Pb1 0.0000 0.0000 0.5000  -0.04
Pb2 0.5000 0.0000 0.0000  -0.04
Pb3 0.0000 0.5000 0.0000  -0.04
Si1 0.0000 0.0000 0.0000  0.01